[1]
# NaSn2Bi2

A relaxed NaSn2Bi2 crystal (PBE, Alexandria).

Properties
Total DFT energy (no corrections) in eV per cell: -34.36
ρ in g/cm3: 6.618
DOS(E_F) in states/eV per atom: 0.446
Formation energy in eV per atom: -0.019

a b c (Å): 5.911 5.911 9.742
angles (deg): 90.00 90.00 90.00
Space group I4/mmm (No. 139)
Unique sites:
1 Na 0.000 0.000 0.000 [2 per cell]
2 Sn 0.000 0.000 0.352 [4 per cell]
3 Bi 0.000 0.500 0.250 [4 per cell]

[2]
# ReTc2W

A relaxed ReTc2W crystal (PBE, Alexandria).

Properties
Polymorph energy (0 for the lowest one) in kJ/mol of formula units: 0
Total DFT energy (no corrections) in eV per cell: -91.35
ρ in g/cm3: 15.515
DOS(E_F) in states/eV per atom: 0.799
Formation energy in eV per atom: 0.114

a b c (Å): 9.218 2.779 4.800
angles (deg): 90.00 99.83 90.00
Space group Cm (No. 8)
Unique sites:
1 Re 0.000 0.000 0.000 [2 per cell]
2 Tc 0.245 0.500 0.242 [2 per cell]
3 Tc 0.491 0.000 0.486 [2 per cell]
4 W 0.245 0.000 0.739 [2 per cell]

[3]
# NpZn11Cd

A relaxed NpZn11Cd crystal (PBE, Alexandria).

Properties
Total DFT energy (no corrections) in eV per cell: -55.73
ρ in g/cm3: 8.223
DOS(E_F) in states/eV per atom: 0.919
Formation energy in eV per atom: 0.000

a b c (Å): 5.375 12.619 6.896
angles (deg): 90.00 112.64 90.00
Space group C2/m (No. 12)
Unique sites:
1 Np 0.000 0.000 0.000 [2 per cell]
2 Zn 0.000 0.500 0.500 [2 per cell]
3 Zn 0.093 0.391 0.209 [8 per cell]
4 Zn 0.193 0.181 0.349 [8 per cell]
5 Zn 0.250 0.250 0.000 [4 per cell]
6 Cd 0.000 0.000 0.500 [2 per cell]